No. 1
A relaxed structure of AgSnCl3, computed with PBE.

Structure (CIF):
```
data_AgSnCl3
_chemical_formula_sum 'Ag2 Sn2 Cl6'
_space_group_name_H-M_alt 'P 1'
_space_group_IT_number 1
_cell_length_a 7.269
_cell_length_b 7.283
_cell_length_c 7.480
_cell_angle_alpha 90.07
_cell_angle_beta 118.99
_cell_angle_gamma 119.93
loop_
_space_group_symop_operation_xyz
'x,y,z'
loop_
_atom_site_label
_atom_site_fract_x
_atom_site_fract_y
_atom_site_fract_z
Ag1 0.221 0.360 0.081
Ag2 0.779 0.640 0.919
Sn1 0.187 0.843 0.530
Sn2 0.813 0.157 0.470
Cl1 0.019 0.468 0.250
Cl2 0.281 0.050 0.249
Cl3 0.302 0.269 0.751
Cl4 0.698 0.731 0.249
Cl5 0.719 0.950 0.751
Cl6 0.981 0.532 0.750
```

Calculated values
Size of the total moment (μB/f.u.): 0.000
N(E_F) (states/eV per cell): 0.00
Energy relative to the elements, uncorrected (kJ/mol of atoms): -73.6
Space-group type: P-1

=====

No. 2
A relaxed structure of CaNdDy4, computed with PBE.

Structure (CIF):
```
data_CaNdDy4
_chemical_formula_sum 'Ca1 Nd1 Dy4'
_space_group_name_H-M_alt 'P 1'
_space_group_IT_number 1
_cell_length_a 6.681
_cell_length_b 6.681
_cell_length_c 6.681
_cell_angle_alpha 60.00
_cell_angle_beta 60.00
_cell_angle_gamma 60.00
loop_
_space_group_symop_operation_xyz
'x,y,z'
loop_
_atom_site_label
_atom_site_fract_x
_atom_site_fract_y
_atom_site_fract_z
Ca1 0.000 0.000 0.000
Nd1 0.750 0.750 0.750
Dy1 0.376 0.376 0.376
Dy2 0.376 0.376 0.871
Dy3 0.376 0.871 0.376
Dy4 0.871 0.376 0.376
```

Calculated values
E above lowest polymorph (eV per atom): 0.145
Size of the total moment (μB/f.u.): 0.000
N(E_F) (states/eV per cell): 7.11
Space-group type: F-43m

=====

No. 3
A relaxed structure of LiTb3Te3, computed with PBE.

Structure (CIF):
```
data_LiTb3Te3
_chemical_formula_sum 'Li2 Tb6 Te6'
_space_group_name_H-M_alt 'P 1'
_space_group_IT_number 1
_cell_length_a 7.974
_cell_length_b 7.974
_cell_length_c 7.974
_cell_angle_alpha 67.23
_cell_angle_beta 67.23
_cell_angle_gamma 67.23
loop_
_space_group_symop_operation_xyz
'x,y,z'
loop_
_atom_site_label
_atom_site_fract_x
_atom_site_fract_y
_atom_site_fract_z
Li1 0.176 0.176 0.176
Li2 0.824 0.824 0.824
Tb1 0.167 0.407 0.676
Tb2 0.324 0.833 0.593
Tb3 0.407 0.676 0.167
Tb4 0.593 0.324 0.833
Tb5 0.676 0.167 0.407
Tb6 0.833 0.593 0.324
Te1 0.012 0.799 0.439
Te2 0.201 0.561 0.988
Te3 0.439 0.012 0.799
Te4 0.561 0.988 0.201
Te5 0.799 0.439 0.012
Te6 0.988 0.201 0.561
```

Calculated values
E above lowest polymorph (eV per atom): 0.111
Size of the total moment (μB/f.u.): 0.001
N(E_F) (states/eV per cell): 10.38
Energy relative to the elements, uncorrected (kJ/mol of atoms): -95.8
Space-group type: R-3

=====

No. 4
A relaxed structure of Ta2NiAu, computed with PBE.

Structure (CIF):
```
data_Ta2NiAu
_chemical_formula_sum 'Ta2 Ni1 Au1'
_space_group_name_H-M_alt 'P 1'
_space_group_IT_number 1
_cell_length_a 5.045
_cell_length_b 5.045
_cell_length_c 5.045
_cell_angle_alpha 134.01
_cell_angle_beta 134.01
_cell_angle_gamma 67.07
loop_
_space_group_symop_operation_xyz
'x,y,z'
loop_
_atom_site_label
_atom_site_fract_x
_atom_site_fract_y
_atom_site_fract_z
Ta1 0.000 0.000 0.000
Ta2 0.750 0.250 0.500
Ni1 0.500 0.500 0.000
Au1 0.250 0.750 0.500
```

Calculated values
E above lowest polymorph (eV per atom): 0.236
Size of the total moment (μB/f.u.): 0.001
N(E_F) (states/eV per cell): 5.61
Space-group type: I-4m2